one:
# Co6O5F7

A relaxed structure of Co6O5F7 (PBE with a Hubbard U, Alexandria).

The structure in POSCAR format:
```
Co6O5F7
1.0
4.581 0.000 0.000
0.093 5.444 0.000
0.128 0.306 7.702
Co O F
6 5 7
Direct
0.000 0.000 0.000
0.000 0.345 0.652
0.001 0.672 0.322
0.453 0.517 0.981
0.528 0.824 0.646
0.553 0.162 0.331
0.189 0.696 0.097
0.303 0.546 0.746
0.707 0.128 0.560
0.813 0.625 0.542
0.822 0.961 0.233
0.201 0.045 0.758
0.216 0.370 0.406
0.313 0.868 0.426
0.329 0.194 0.091
0.690 0.805 0.888
0.705 0.466 0.210
0.796 0.311 0.897
```

Output
Crystal system: triclinic


two:
# Co6O5F7

A relaxed structure of Co6O5F7 (PBE with a Hubbard U, Alexandria).

The structure in POSCAR format:
```
Co6O5F7
1.0
4.512 -3.281 0.000
4.512 3.281 0.000
-2.751 0.000 6.647
Co O F
6 5 7
Direct
0.000 0.000 0.000
0.003 0.003 0.490
0.328 0.328 0.324
0.356 0.356 0.842
0.635 0.635 0.150
0.684 0.684 0.638
0.106 0.106 0.283
0.284 0.721 0.999
0.549 0.549 0.361
0.721 0.284 0.999
0.906 0.906 0.710
0.014 0.628 0.324
0.243 0.243 0.033
0.375 0.977 0.666
0.434 0.434 0.619
0.628 0.014 0.324
0.755 0.755 0.956
0.977 0.375 0.666
```

Output
Crystal system: monoclinic


three:
# Co6O5F7

A relaxed structure of Co6O5F7 (PBE with a Hubbard U, Alexandria).

The structure in POSCAR format:
```
Co6O5F7
1.0
5.460 0.000 0.000
1.671 5.296 0.000
1.958 1.366 6.604
Co O F
6 5 7
Direct
0.000 0.000 0.000
0.000 0.011 0.504
0.309 0.373 0.169
0.311 0.340 0.669
0.682 0.618 0.814
0.691 0.682 0.338
0.025 0.667 0.169
0.219 0.252 0.466
0.416 0.437 0.870
0.782 0.770 0.533
0.969 0.342 0.832
0.087 0.121 0.201
0.320 0.715 0.491
0.376 0.945 0.840
0.579 0.582 0.134
0.622 0.064 0.164
0.680 0.308 0.508
0.900 0.884 0.804
```

Output
Crystal system: triclinic


How do the energies compare? Relative to the most stable structure, in meV/atom: one 6; two 15; three 0.


one:
# Co6O5F7

A relaxed structure of Co6O5F7 (PBE with a Hubbard U, Alexandria).

The structure in POSCAR format:
```
Co6O5F7
1.0
4.566 0.000 0.000
0.159 5.527 0.000
0.190 0.404 7.693
Co O F
6 5 7
Direct
0.000 0.000 0.000
0.003 0.634 0.304
0.017 0.316 0.637
0.517 0.819 0.653
0.542 0.164 0.328
0.583 0.491 0.976
0.337 0.114 0.553
0.724 0.537 0.733
0.732 0.196 0.101
0.834 0.717 0.092
0.837 0.355 0.416
0.201 0.286 0.880
0.233 0.616 0.533
0.252 0.958 0.228
0.305 0.795 0.886
0.334 0.463 0.207
0.751 0.856 0.430
0.811 0.027 0.760
```

Output
Crystal system: triclinic


two:
# Co6O5F7

A relaxed structure of Co6O5F7 (PBE with a Hubbard U, Alexandria).

The structure in POSCAR format:
```
Co6O5F7
1.0
5.471 0.000 0.000
1.656 5.253 0.000
1.962 1.492 6.619
Co O F
6 5 7
Direct
0.000 0.000 0.000
0.005 0.924 0.478
0.319 0.304 0.658
0.325 0.313 0.160
0.646 0.632 0.331
0.691 0.619 0.830
0.101 0.081 0.192
0.294 0.644 0.490
0.565 0.529 0.125
0.767 0.714 0.535
0.982 0.337 0.829
0.019 0.623 0.162
0.223 0.178 0.459
0.384 0.936 0.822
0.436 0.400 0.862
0.627 0.006 0.161
0.691 0.242 0.500
0.914 0.878 0.797
```

Output
Crystal system: triclinic


How do the energies compare? Relative to the most stable structure, in meV/atom: one 0; two 7.


one:
# Co6OF11

A relaxed structure of Co6OF11 (PBE with a Hubbard U, Alexandria).

The structure in POSCAR format:
```
Co6OF11
1.0
4.591 -3.381 0.000
4.591 3.381 0.000
-2.710 0.000 6.943
Co O F
6 1 11
Direct
0.000 0.000 0.000
0.002 0.002 0.489
0.338 0.338 0.832
0.340 0.340 0.329
0.670 0.670 0.663
0.692 0.692 0.163
0.893 0.893 0.195
0.035 0.640 0.826
0.105 0.105 0.797
0.237 0.237 0.533
0.305 0.699 0.502
0.368 0.975 0.163
0.454 0.454 0.133
0.575 0.575 0.872
0.640 0.035 0.826
0.699 0.305 0.502
0.764 0.764 0.456
0.975 0.368 0.163
```

Output
Crystal system: monoclinic


two:
# Co6OF11

A relaxed structure of Co6OF11 (PBE with a Hubbard U, Alexandria).

The structure in POSCAR format:
```
Co6OF11
1.0
4.563 -3.262 0.000
4.563 3.262 0.000
-2.640 0.000 7.003
Co O F
6 1 11
Direct
0.000 0.000 0.000
0.304 0.361 0.332
0.306 0.376 0.840
0.624 0.694 0.160
0.639 0.696 0.668
0.975 0.025 0.500
0.280 0.720 0.000
0.085 0.126 0.299
0.214 0.245 0.032
0.341 0.006 0.670
0.410 0.471 0.635
0.529 0.590 0.365
0.609 0.060 0.335
0.693 0.307 0.000
0.755 0.786 0.968
0.874 0.915 0.701
0.940 0.391 0.665
0.994 0.659 0.330
```

Output
Crystal system: monoclinic


How do the energies compare? Relative to the most stable structure, in meV/atom: one 0; two 122.


one:
# Co6OF11

A relaxed structure of Co6OF11 (PBE with a Hubbard U, Alexandria).

The structure in POSCAR format:
```
Co6OF11
1.0
4.736 0.000 0.000
0.105 5.709 0.000
0.074 0.385 7.933
Co O F
6 1 11
Direct
0.000 0.000 0.000
0.002 0.333 0.669
0.025 0.650 0.326
0.486 0.505 0.012
0.491 0.177 0.333
0.511 0.827 0.662
0.297 0.466 0.235
0.195 0.634 0.565
0.197 0.961 0.234
0.200 0.293 0.900
0.304 0.796 0.896
0.313 0.130 0.566
0.695 0.531 0.775
0.697 0.204 0.103
0.712 0.864 0.427
0.803 0.704 0.103
0.804 0.374 0.437
0.808 0.030 0.767
```

Output
Crystal system: triclinic


two:
# Co6OF11

A relaxed structure of Co6OF11 (PBE with a Hubbard U, Alexandria).

The structure in POSCAR format:
```
Co6OF11
1.0
3.169 0.000 0.000
0.000 10.121 3.328
0.000 -10.121 3.328
Co O F
6 1 11
Direct
0.000 0.000 0.000
0.000 0.334 0.666
0.000 0.666 0.334
0.500 0.168 0.834
0.500 0.532 0.532
0.500 0.834 0.168
0.000 0.697 0.697
0.000 0.029 0.365
0.000 0.316 0.316
0.000 0.365 0.029
0.000 0.638 0.970
0.000 0.970 0.638
0.500 0.074 0.943
0.500 0.269 0.733
0.500 0.397 0.598
0.500 0.598 0.397
0.500 0.733 0.269
0.500 0.943 0.074
```

Output
Crystal system: orthorhombic


three:
# Co6OF11

A relaxed structure of Co6OF11 (PBE with a Hubbard U, Alexandria).

The structure in POSCAR format:
```
Co6OF11
1.0
9.684 0.000 0.000
0.000 3.381 3.296
0.000 -3.381 3.296
Co O F
6 1 11
Direct
0.000 0.000 0.000
0.163 0.461 0.461
0.335 0.965 0.965
0.500 0.467 0.467
0.665 0.965 0.965
0.837 0.461 0.461
0.000 0.274 0.274
0.000 0.687 0.687
0.171 0.168 0.770
0.171 0.770 0.168
0.332 0.661 0.661
0.334 0.271 0.271
0.500 0.162 0.770
0.500 0.770 0.162
0.666 0.271 0.271
0.668 0.661 0.661
0.829 0.168 0.770
0.829 0.770 0.168
```

Output
Crystal system: orthorhombic


How do the energies compare? Relative to the most stable structure, in meV/atom: one 0; two 12; three 40.


one:
# CoO2F

A relaxed structure of CoO2F (PBE with a Hubbard U, Alexandria).

The structure in POSCAR format:
```
CoO2F
1.0
0.000 2.624 2.624
2.624 0.000 2.624
2.624 2.624 0.000
Co O F
1 2 1
Direct
0.000 0.000 0.000
0.250 0.250 0.250
0.750 0.750 0.750
0.500 0.500 0.500
```

Output
Crystal system: cubic


two:
# CoO2F

A relaxed structure of CoO2F (PBE with a Hubbard U, Alexandria).

The structure in POSCAR format:
```
CoO2F
1.0
-2.639 2.639 3.388
2.639 -2.639 3.388
2.639 2.639 -3.388
Co O F
2 4 2
Direct
0.000 0.000 0.000
0.750 0.250 0.500
0.021 0.625 0.896
0.375 0.271 0.396
0.729 0.125 0.104
0.875 0.979 0.604
0.250 0.750 0.500
0.500 0.500 0.000
```

Output
Crystal system: tetragonal


How do the energies compare? Relative to the most stable structure, in meV/atom: one 418; two 0.


one:
# Co3O5F

A relaxed structure of Co3O5F (PBE with a Hubbard U, Alexandria).

The structure in POSCAR format:
```
Co3O5F
1.0
4.353 0.000 0.000
0.000 2.955 0.000
-0.463 0.000 13.003
Co O F
6 10 2
Direct
0.000 0.000 0.000
0.021 0.000 0.659
0.476 0.500 0.840
0.500 0.500 0.500
0.524 0.500 0.160
0.979 0.000 0.341
0.184 0.500 0.934
0.203 0.500 0.598
0.298 0.000 0.769
0.307 0.000 0.433
0.318 0.000 0.098
0.682 0.000 0.902
0.693 0.000 0.567
0.702 0.000 0.231
0.797 0.500 0.402
0.816 0.500 0.066
0.204 0.500 0.265
0.796 0.500 0.735
```

Output
Crystal system: monoclinic


two:
# Co3O5F

A relaxed structure of Co3O5F (PBE with a Hubbard U, Alexandria).

The structure in POSCAR format:
```
Co3O5F
1.0
2.923 0.000 0.000
0.000 4.437 0.000
0.000 0.000 13.301
Co O F
6 10 2
Direct
0.000 0.204 0.000
0.000 0.208 0.685
0.000 0.295 0.345
0.500 0.705 0.845
0.500 0.792 0.185
0.500 0.796 0.500
0.000 0.514 0.907
0.000 0.586 0.244
0.000 0.897 0.781
0.000 0.943 0.109
0.000 0.992 0.441
0.500 0.008 0.941
0.500 0.057 0.609
0.500 0.103 0.281
0.500 0.414 0.744
0.500 0.486 0.407
0.000 0.577 0.571
0.500 0.423 0.071
```

Output
Crystal system: orthorhombic


How do the energies compare? Relative to the most stable structure, in meV/atom: one 8; two 0.


one:
# CoP2OF

A relaxed structure of CoP2OF (PBE with a Hubbard U, Alexandria).

The structure in POSCAR format:
```
CoP2OF
1.0
4.491 0.000 0.000
0.000 4.491 0.000
0.000 0.000 3.475
Co P O F
1 2 1 1
Direct
0.000 0.000 0.000
0.000 0.500 0.000
0.500 0.000 0.000
0.000 0.000 0.500
0.500 0.500 0.500
```

Output
Crystal system: tetragonal


two:
# CoP2OF

A relaxed structure of CoP2OF (PBE with a Hubbard U, Alexandria).

The structure in POSCAR format:
```
CoP2OF
1.0
3.995 0.000 0.000
0.000 3.995 0.000
0.000 0.000 4.392
Co P O F
1 2 1 1
Direct
0.000 0.000 0.000
0.000 0.500 0.500
0.500 0.000 0.500
0.500 0.500 0.000
0.500 0.500 0.500
```

Output
Crystal system: tetragonal


How do the energies compare? Relative to the most stable structure, in meV/atom: one 0; two 620.


one:
# CoPtOF2

A relaxed structure of CoPtOF2 (PBE with a Hubbard U, Alexandria).

The structure in POSCAR format:
```
CoPtOF2
1.0
4.071 0.000 0.000
0.000 4.071 0.000
0.000 0.000 3.744
Co Pt O F
1 1 1 2
Direct
0.000 0.000 0.000
0.500 0.500 0.500
0.000 0.000 0.500
0.000 0.500 0.000
0.500 0.000 0.000
```

Output
Crystal system: tetragonal


two:
# CoPtOF2

A relaxed structure of CoPtOF2 (PBE with a Hubbard U, Alexandria).

The structure in POSCAR format:
```
CoPtOF2
1.0
4.409 0.000 0.000
0.000 4.409 0.000
0.000 0.000 3.827
Co Pt O F
1 1 1 2
Direct
0.000 0.000 0.000
0.500 0.500 0.500
0.500 0.500 0.000
0.000 0.500 0.500
0.500 0.000 0.500
```

Output
Crystal system: tetragonal


How do the energies compare? Relative to the most stable structure, in meV/atom: one 0; two 179.


one:
# RbCoOF2

A relaxed structure of RbCoOF2 (PBE with a Hubbard U, Alexandria).

The structure in POSCAR format:
```
RbCoOF2
1.0
4.346 0.000 0.000
0.000 4.346 0.000
0.000 0.000 3.694
Rb Co O F
1 1 1 2
Direct
0.000 0.000 0.000
0.500 0.500 0.500
0.500 0.500 0.000
0.000 0.500 0.500
0.500 0.000 0.500
```

Output
Crystal system: tetragonal


two:
# RbCoOF2

A relaxed structure of RbCoOF2 (PBE with a Hubbard U, Alexandria).

The structure in POSCAR format:
```
RbCoOF2
1.0
4.831 0.000 0.000
0.000 4.831 0.000
0.000 0.000 4.433
Rb Co O F
1 1 1 2
Direct
0.000 0.000 0.000
0.500 0.500 0.500
0.000 0.000 0.500
0.000 0.500 0.000
0.500 0.000 0.000
```

Output
Crystal system: tetragonal


How do the energies compare? Relative to the most stable structure, in meV/atom: one 0; two 1784.